--- 1 ---
Computed, not measured: a relaxed ZnBi2O4 crystal at the PBE level of DFT.

Its crystal system is orthorhombic. The magnetization comes out at 0.00 μB/f.u.

The structure belongs to space group Cmcm (No. 63); the cell edges are 3.4157, 11.5074 and 11.5671 Å and the angles 90.00°, 90.00° and 90.00°. The inequivalent atoms are Zn at (0.0000, 0.0800, 0.2500), Bi at (0.0000, 0.3651, 0.0698), O at (0.0000, 0.0000, 0.0000), O at (0.0000, 0.2718, 0.6025) and O at (0.0000, 0.4920, 0.7500).

=====

--- 2 ---
Computed, not measured: a relaxed ZnBi2O4 crystal at the PBE level of DFT.

Its crystal system is cubic. The magnetization comes out at 0.00 μB/f.u.

The structure belongs to space group Fd-3m (No. 227, origin choice 2); the cell edges are 9.6436, 9.6436 and 9.6436 Å and the angles 90.00°, 90.00° and 90.00°. The inequivalent atoms are Zn at (0.1250, 0.1250, 0.1250), Bi at (0.0000, 0.0000, 0.5000) and O at (0.0007, 0.0007, 0.2493).

=====

--- 3 ---
Computed, not measured: a relaxed ZnBi2O4 crystal at the PBE level of DFT.

Its crystal system is orthorhombic. The magnetization comes out at 0.00 μB/f.u.

The structure belongs to space group Pnma (No. 62); the cell edges are 12.0480, 3.3370 and 10.8866 Å and the angles 90.00°, 90.00° and 90.00°. The inequivalent atoms are Zn at (0.1816, 0.2500, 0.1174), Bi at (0.0907, 0.2500, 0.3830), Bi at (0.1124, 0.2500, 0.8389), O at (0.0255, 0.2500, 0.1910), O at (0.0309, 0.2500, 0.6037), O at (0.1761, 0.7500, 0.9836) and O at (0.2250, 0.7500, 0.2343).

=====

Of all the structures shown, which is most stable? 2, and 1 is the least stable.